## RbNiCl (PBE)

Data for a relaxed structure of RbNiCl.

- D(E_F) (states/eV/cell) = 9.898
- space-group type = C2/m
- energy above the most stable polymorph in this dataset (meV/atom) = 0

POSCAR file:
```
RbNiCl
1.0
17.208 0.000 0.000
0.000 5.122 0.000
-0.017 0.000 4.019
Rb Ni Cl
4 4 4
Direct
0.135 0.000 0.255
0.365 0.500 0.745
0.635 0.500 0.255
0.865 0.000 0.745
0.033 0.500 0.751
0.467 0.000 0.249
0.533 0.000 0.751
0.967 0.500 0.249
0.167 0.500 0.755
0.333 0.000 0.245
0.667 0.000 0.755
0.833 0.500 0.245
```

## RbNiCl (PBE)

Data for a relaxed structure of RbNiCl.

- D(E_F) (states/eV/cell) = 0.000
- space-group type = Amm2
- energy above the most stable polymorph in this dataset (meV/atom) = 72

POSCAR file:
```
RbNiCl
1.0
4.882 0.000 0.000
0.000 4.289 0.000
0.000 0.000 16.297
Rb Ni Cl
4 4 4
Direct
0.000 0.000 0.000
0.000 0.000 0.268
0.000 0.500 0.500
0.000 0.500 0.768
0.500 0.000 0.128
0.500 0.000 0.709
0.500 0.500 0.209
0.500 0.500 0.628
0.500 0.000 0.581
0.500 0.000 0.843
0.500 0.500 0.081
0.500 0.500 0.343
```

## Rb2ReNiCl6 (PBE)

Data for a relaxed structure of Rb2ReNiCl6.

- energy (eV/atom) = -4.034
- D(E_F) (states/eV/cell) = 2.578
- space-group type = I4/mmm

POSCAR file:
```
Rb2ReNiCl6
1.0
-3.791 3.791 4.547
3.791 -3.791 4.547
3.791 3.791 -4.547
Rb Re Ni Cl
2 1 1 6
Direct
0.250 0.750 0.500
0.750 0.250 0.500
0.000 0.000 0.000
0.500 0.500 0.000
0.226 0.226 0.451
0.226 0.774 0.000
0.264 0.264 0.000
0.736 0.736 0.000
0.774 0.226 0.000
0.774 0.774 0.549
```

## Rb2NiRuCl6 (PBE)

Data for a relaxed structure of Rb2NiRuCl6.

- energy (eV/atom) = -3.772
- D(E_F) (states/eV/cell) = 7.931
- space-group type = I4/mmm

POSCAR file:
```
Rb2NiRuCl6
1.0
-3.633 3.633 4.547
3.633 -3.633 4.547
3.633 3.633 -4.547
Rb Ni Ru Cl
2 1 1 6
Direct
0.250 0.750 0.500
0.750 0.250 0.500
0.000 0.000 0.000
0.500 0.500 0.000
0.241 0.241 0.000
0.262 0.262 0.525
0.262 0.738 0.000
0.738 0.262 0.000
0.738 0.738 0.475
0.759 0.759 0.000
```

Repeat the third record exactly.
## Rb2ReNiCl6 (PBE)

Data for a relaxed structure of Rb2ReNiCl6.

- energy (eV/atom) = -4.034
- D(E_F) (states/eV/cell) = 2.578
- space-group type = I4/mmm

POSCAR file:
```
Rb2ReNiCl6
1.0
-3.791 3.791 4.547
3.791 -3.791 4.547
3.791 3.791 -4.547
Rb Re Ni Cl
2 1 1 6
Direct
0.250 0.750 0.500
0.750 0.250 0.500
0.000 0.000 0.000
0.500 0.500 0.000
0.226 0.226 0.451
0.226 0.774 0.000
0.264 0.264 0.000
0.736 0.736 0.000
0.774 0.226 0.000
0.774 0.774 0.549
```

> Among the records above, which one has the highest D(E_F)?

number 1

> The highest D(E_F) belongs to which entry?

number 1